Material: MgTaN3
Method: DFT, PBE
State: optimized geometry

## Properties
D(E_F)	2.3	states/eV/cell
formation energy (no corrections)	6.3	eV/f.u.

a b c (Å): 3.738 3.738 3.738
angles (deg): 90.00 90.00 90.00
Space group Pm-3m (No. 221)
One atom of each set of equivalent atoms:
Mg: 0.000 0.000 0.000 x1
Ta: 0.500 0.500 0.500 x1
N: 0.000 0.000 0.500 x3